Version a
CaV2Ag | PBE | optimized geometry

Lattice parameters (Å, degrees): 4.1942 4.1942 20.5468 90.00 90.00 90.00
Space group I-42d (No. 122)
One atom of each set of equivalent atoms:
Ca1 0.0000 0.0000 0.0000 x4
V1 0.0185 0.2500 0.6250 x8
Ag1 0.0000 0.0000 0.5000 x4

***

Version b
CaV2Ag | PBE | optimized geometry

Lattice parameters (Å, degrees): 6.8760 6.8760 6.8760 90.00 90.00 90.00
Space group Fm-3m (No. 225)
One atom of each set of equivalent atoms:
Ca1 0.0000 0.0000 0.0000 x4
V1 0.2500 0.2500 0.2500 x8
Ag1 0.0000 0.0000 0.5000 x4

***

Which structure above is the least stable? It is version b.